MnCoMo2: relaxed, PBE-GGA.

Summary:
density of states at the Fermi level: 4.70 states/eV per cell
size of the total moment: 0.5 μB/f.u.
energy of formation from the pure elements: 190 meV/atom
energy above the lowest structure with this stoichiometry: 74 meV per atom
symmetry: I-4m2, No. 119

Unit cell a=4.703 b=4.703 c=4.703 alpha=133.53 beta=133.53 gamma=67.82
Last column: magnetic moment on the atom in μB.
Positions (direct):
Co 0.500 0.500 0.000  -0.52
Mn 0.750 0.250 0.500  1.38
Mo 0.000 0.000 0.000  -0.19
Mo 0.250 0.750 0.500  -0.17

=====

MnCo3Mo: relaxed, PBE-GGA.

Summary:
density of states at the Fermi level: 8.16 states/eV per cell
size of the total moment: 4.0 μB/f.u.
energy of formation from the pure elements: 1271 meV/atom
symmetry: Pm-3m, No. 221

Unit cell a=4.122 b=4.122 c=4.122 alpha=90.00 beta=90.00 gamma=90.00
Last column: magnetic moment on the atom in μB.
Positions (direct):
Mo 0.500 0.500 0.500  1.61
Mn 0.000 0.000 0.000  0.22
Co 0.000 0.500 0.000  0.65
Co 0.000 0.000 0.500  0.60
Co 0.500 0.000 0.000  0.73

=====

Mn5Co6Mo: relaxed, PBE-GGA.

Summary:
density of states at the Fermi level: 8.84 states/eV per cell
size of the total moment: 22.7 μB/f.u.
energy of formation from the pure elements: 8 meV/atom
symmetry: Immm, No. 71

Unit cell a=4.083 b=5.794 c=7.077 alpha=65.84 beta=73.26 gamma=90.00
Last column: magnetic moment on the atom in μB.
Positions (direct):
Mo 0.000 0.000 0.000  -0.27
Mn 0.667 0.167 0.666  3.01
Mn 0.332 0.332 0.335  3.05
Mn 0.000 0.500 0.000  3.06
Mn 0.668 0.668 0.665  3.05
Mn 0.333 0.833 0.334  3.01
Co 0.833 0.582 0.334  1.26
Co 0.833 0.084 0.334  1.26
Co 0.500 0.747 0.000  1.29
Co 0.500 0.253 0.000  1.29
Co 0.167 0.916 0.666  1.26
Co 0.167 0.418 0.666  1.26

=====

MnCoMo2: relaxed, PBE-GGA.

Summary:
density of states at the Fermi level: 3.24 states/eV per cell
size of the total moment: 1.5 μB/f.u.
energy of formation from the pure elements: 117 meV/atom
energy above the lowest structure with this stoichiometry: 1 meV per atom
symmetry: I4/mmm, No. 139

Unit cell a=4.623 b=4.623 c=4.623 alpha=131.78 beta=131.78 gamma=70.58
Last column: magnetic moment on the atom in μB.
Positions (direct):
Co 0.250 0.750 0.500  -0.23
Mn 0.750 0.250 0.500  1.94
Mo 0.000 0.000 0.000  -0.14
Mo 0.500 0.500 0.000  -0.14

=====

MnCoMo2: relaxed, PBE-GGA.

Summary:
density of states at the Fermi level: 4.91 states/eV per cell
size of the total moment: 3.2 μB/f.u.
energy of formation from the pure elements: 153 meV/atom
energy above the lowest structure with this stoichiometry: 37 meV per atom
symmetry: P2/m, No. 10

Unit cell a=4.122 b=2.642 c=5.185 alpha=76.12 beta=90.00 gamma=90.00
Last column: magnetic moment on the atom in μB.
Positions (direct):
Co 0.500 0.250 0.250  1.26
Mn 0.500 0.750 0.750  2.07
Mo 0.000 0.996 0.999  -0.10
Mo 0.000 0.504 0.501  -0.10

=====

MnCoMo2: relaxed, PBE-GGA.

Summary:
density of states at the Fermi level: 4.59 states/eV per cell
size of the total moment: 1.1 μB/f.u.
energy of formation from the pure elements: 129 meV/atom
energy above the lowest structure with this stoichiometry: 13 meV per atom
symmetry: Pm, No. 6

Unit cell a=4.306 b=2.656 c=4.696 alpha=84.58 beta=90.00 gamma=90.00
Last column: magnetic moment on the atom in μB.
Positions (direct):
Co 0.000 0.616 0.470  -0.06
Mn 0.500 0.649 0.781  1.31
Mo 0.000 0.005 0.960  -0.15
Mo 0.500 0.230 0.289  -0.08

=====

MnCoMo2: relaxed, PBE-GGA.

Summary:
density of states at the Fermi level: 3.48 states/eV per cell
size of the total moment: 1.5 μB/f.u.
energy of formation from the pure elements: 117 meV/atom
energy above the lowest structure with this stoichiometry: 1 meV per atom
symmetry: Cmmm, No. 65

Unit cell a=2.645 b=2.645 c=7.780 alpha=90.00 beta=90.00 gamma=96.44
Last column: magnetic moment on the atom in μB.
Positions (direct):
Co 0.500 0.500 0.250  -0.40
Mn 0.500 0.500 0.750  2.04
Mo 0.000 0.000 0.010  -0.12
Mo 0.000 0.000 0.490  -0.12

=====

Mn3CoMo: relaxed, PBE-GGA.

Summary:
density of states at the Fermi level: 12.90 states/eV per cell
size of the total moment: 0.0 μB/f.u.
energy of formation from the pure elements: 1344 meV/atom
energy above the lowest structure with this stoichiometry: 0 meV per atom
symmetry: Pm-3m, No. 221

Unit cell a=4.110 b=4.110 c=4.110 alpha=90.00 beta=90.00 gamma=90.00
Positions (direct):
Mo 0.500 0.500 0.500
Mn 0.000 0.500 0.000
Mn 0.000 0.000 0.500
Mn 0.500 0.000 0.000
Co 0.000 0.000 0.000

=====

MnCoMo2: relaxed, PBE-GGA.

Summary:
density of states at the Fermi level: 4.31 states/eV per cell
size of the total moment: 1.4 μB/f.u.
energy of formation from the pure elements: 146 meV/atom
energy above the lowest structure with this stoichiometry: 30 meV per atom
symmetry: Pmmm, No. 47

Unit cell a=2.660 b=3.722 c=5.418 alpha=90.00 beta=90.00 gamma=90.00
Last column: magnetic moment on the atom in μB.
Positions (direct):
Co 0.500 0.500 0.250  0.05
Mn 0.500 0.500 0.750  1.60
Mo 0.000 0.000 0.003  -0.14
Mo 0.000 0.000 0.497  -0.14

=====

MnCoMo2: relaxed, PBE-GGA.

Summary:
density of states at the Fermi level: 8.45 states/eV per cell
size of the total moment: 2.6 μB/f.u.
energy of formation from the pure elements: 602 meV/atom
energy above the lowest structure with this stoichiometry: 486 meV per atom
symmetry: I-42d, No. 122

Unit cell a=6.789 b=6.789 c=5.434 alpha=51.34 beta=51.34 gamma=90.00
Last column: magnetic moment on the atom in μB.
Positions (direct):
Mo 0.647 0.125 0.250  -0.20
Mo 0.103 0.625 0.250  -0.19
Mo 0.375 0.353 0.750  -0.19
Mo 0.875 0.897 0.750  -0.19
Mn 0.500 0.500 0.000  2.75
Mn 0.250 0.750 0.500  2.75
Co 0.000 0.000 0.000  0.10
Co 0.750 0.250 0.500  0.10

=====

MnCoMo2: relaxed, PBE-GGA.

Summary:
density of states at the Fermi level: 3.24 states/eV per cell
size of the total moment: 3.9 μB/f.u.
energy of formation from the pure elements: 146 meV/atom
energy above the lowest structure with this stoichiometry: 30 meV per atom
symmetry: F-43m, No. 216

Unit cell a=4.279 b=4.279 c=4.279 alpha=60.00 beta=60.00 gamma=60.00
Last column: magnetic moment on the atom in μB.
Positions (direct):
Co 0.500 0.500 0.500  1.25
Mn 0.250 0.250 0.250  2.60
Mo 0.000 0.000 0.000  -0.31
Mo 0.750 0.750 0.750  0.30

=====

MnCoMo2: relaxed, PBE-GGA.

Summary:
density of states at the Fermi level: 4.40 states/eV per cell
size of the total moment: 3.3 μB/f.u.
energy of formation from the pure elements: 146 meV/atom
energy above the lowest structure with this stoichiometry: 30 meV per atom
symmetry: C2/m, No. 12

Unit cell a=5.185 b=4.888 c=2.641 alpha=81.74 beta=76.20 gamma=117.77
Last column: magnetic moment on the atom in μB.
Positions (direct):
Co 0.000 0.500 0.500  1.24
Mn 0.500 0.500 0.000  2.25
Mo 0.000 0.000 0.000  -0.12
Mo 0.500 0.000 0.500  -0.12